(1)
A plane-wave DFT calculation with meta-GGA SCAN was carried out for a crystal of TlAg2Pb relaxed with PBEsol.

Lattice parameters (Å, degrees): 3.407 3.407 7.748 90.00 90.00 90.00
Positions (direct):
Ag 0.000 0.000 0.033
Ag 0.500 0.500 0.216
Tl 0.500 0.500 0.791
Pb 0.000 0.000 0.461

As for the relative energy among the computed polymorphs: 2 meV per atom.

(2)
A plane-wave DFT calculation with meta-GGA SCAN was carried out for a crystal of ScCr2Fe relaxed with PBEsol.

Lattice parameters (Å, degrees): 2.620 4.145 4.756 90.00 102.71 90.00
Positions (direct):
Cr 0.255 0.000 0.233
Cr 0.745 0.000 0.767
Sc 0.000 0.500 0.500
Fe 0.500 0.500 0.000

As for the relative energy among the computed polymorphs: 242 meV per atom.

(3)
A plane-wave DFT calculation with meta-GGA SCAN was carried out for a crystal of ReNi3Se relaxed with PBEsol.

Lattice parameters (Å, degrees): 4.192 4.192 4.192 90.00 90.00 90.00
Positions (direct):
Ni 0.000 0.500 0.000
Ni 0.500 0.000 0.000
Ni 0.000 0.000 0.500
Re 0.500 0.500 0.500
Se 0.000 0.000 0.000

For the energy relative to the elements, uncorrected, the calculation gives 1162 meV/atom.

(4)
A plane-wave DFT calculation with meta-GGA SCAN was carried out for a crystal of LaAgCl2 relaxed with PBEsol.

Lattice parameters (Å, degrees): 4.377 4.377 5.460 113.63 113.63 90.00
Positions (direct):
Cl 0.000 0.000 0.000
Cl 0.750 0.250 0.500
Ag 0.250 0.750 0.500
La 0.500 0.500 0.000

As for the relative energy among the computed polymorphs: 51 meV per atom. For the energy relative to the elements, uncorrected, the calculation gives -1353 meV/atom.

(5)
A plane-wave DFT calculation with meta-GGA SCAN was carried out for a crystal of MoAuSe2N relaxed with PBEsol.

Lattice parameters (Å, degrees): 3.684 5.153 5.153 90.00 90.00 90.00
Positions (direct):
Mo 0.500 0.500 0.500
Se 0.000 0.500 0.000
Se 0.000 0.000 0.500
N 0.500 0.000 0.000
Au 0.000 0.000 0.000

For the energy relative to the elements, uncorrected, the calculation gives 1250 meV/atom.

(6)
A plane-wave DFT calculation with meta-GGA SCAN was carried out for a crystal of Ag2TeRu relaxed with PBEsol.

Lattice parameters (Å, degrees): 2.918 2.918 8.888 90.00 90.00 90.11
Positions (direct):
Ru 0.500 0.500 0.500
Ag 0.000 0.000 0.714
Ag 0.000 0.000 0.286
Te 0.500 0.500 0.000

For the energy relative to the elements, uncorrected, the calculation gives 555 meV/atom.

(7)
A plane-wave DFT calculation with meta-GGA SCAN was carried out for a crystal of LaSnS2N relaxed with PBEsol.

Lattice parameters (Å, degrees): 4.008 4.999 4.999 90.00 90.00 90.00
Positions (direct):
S 0.000 0.500 0.000
S 0.000 0.000 0.500
La 0.500 0.500 0.500
Sn 0.000 0.000 0.000
N 0.500 0.000 0.000

For the energy relative to the elements, uncorrected, the calculation gives -670 meV/atom.

(8)
A plane-wave DFT calculation with meta-GGA SCAN was carried out for a crystal of MnFeBr relaxed with PBEsol.

Lattice parameters (Å, degrees): 3.034 4.154 4.154 120.00 90.00 90.00
Positions (direct):
Br 0.846 0.000 0.000
Mn 0.301 0.667 0.333
Fe 0.853 0.333 0.667

For the energy relative to the elements, uncorrected, the calculation gives 558 meV/atom.

no.,mass density (g cm⁻³)
1,11.58
2,6.75
3,9.94
4,6.12
5,7.89
6,9.75
7,5.57
8,6.98